5
Lattice="5.120 0.000 0.000 0.000 5.120 0.000 0.000 0.000 5.120" Properties=species:S:1:pos:R:3 comment="NaY3Ir | Alexandria via LeMat-Bulk | SCAN | PBEsol geometry" space_group="Pm-3m (221)" e_tot_ev_per_atom=-30.424 n_ef_per_ev_cell=7.28 delta_e_f_mev_per_atom=1344 m_tot_mub_per_fu=0.0 pbc="T T T"
Na 0.000 0.000 0.000
Y 0.000 0.000 2.560
Y 0.000 2.560 0.000
Y 2.560 0.000 0.000
Ir 2.560 2.560 2.560